(1)
Below is crystalline Ce2GaRh4 at its relaxed geometry, with properties calculated at the GGA-PBE level.

POSCAR file:
```
Ce2GaRh4
1.0
-4.127 -0.388 -4.439
-1.413 -5.624 1.806
0.112 4.428 3.663
Ce Rh Ga
2 4 1
direct
0.750 0.250 0.500
0.250 0.750 0.500
0.719 0.719 0.000
0.281 0.281 0.000
0.719 0.281 0.000
0.281 0.719 0.000
0.000 0.000 0.000
```

DOS(E_F) ... 3.19 states/eV/f.u.
SG ... I4/mmm
Formation energy from the elements ... -4.316 eV/f.u.

***

(2)
Below is crystalline Ce3Ga2Rh at its relaxed geometry, with properties calculated at the GGA-PBE level.

POSCAR file:
```
Ce3Ga2Rh
1.0
8.630 0.000 0.000
0.000 6.803 -1.709
0.000 -4.395 5.466
Ga Ce Rh
4 6 2
direct
0.720 0.667 0.333
0.720 0.333 0.667
0.220 0.333 0.667
0.220 0.667 0.333
0.970 0.502 0.502
0.970 0.842 0.158
0.470 0.158 0.842
0.970 0.158 0.842
0.470 0.842 0.158
0.470 0.498 0.498
0.720 0.000 0.000
0.220 0.000 0.000
```

DOS(E_F) ... 9.55 states/eV/f.u.
SG ... Cmcm
Formation energy from the elements ... -3.320 eV/f.u.

***

(3)
Below is crystalline Ce7GaRh2 at its relaxed geometry, with properties calculated at the GGA-PBE level.

POSCAR file:
```
Ce7GaRh2
1.0
5.044 0.000 0.000
0.000 8.010 0.134
0.000 -3.413 7.247
Ce Rh Ga
7 2 1
direct
0.500 0.270 0.051
0.000 0.741 0.259
0.500 0.730 0.949
0.500 0.949 0.730
0.000 0.259 0.741
0.500 0.051 0.270
0.500 0.500 0.500
0.500 0.687 0.313
0.500 0.313 0.687
0.000 0.000 0.000
```

DOS(E_F) ... 31.23 states/eV/f.u.
SG ... Cmmm
Formation energy from the elements ... -1.204 eV/f.u.